VASP calculation (GGA-PBE) on crystalline SrI2O6 at its relaxed geometry.

Lattice parameters (Å, degrees): 6.236 5.696 10.418 90.00 92.61 90.00
Space group P2_1 (No. 4)
One atom of each set of equivalent atoms:
Sr  0.201  0.000  0.239 (multiplicity 2)
I  0.282  0.398  0.567 (multiplicity 2)
I  0.304  0.890  0.887 (multiplicity 2)
O  0.030  0.265  0.614 (multiplicity 2)
O  0.156  0.714  0.764 (multiplicity 2)
O  0.170  0.792  0.029 (multiplicity 2)
O  0.348  0.216  0.430 (multiplicity 2)
O  0.442  0.231  0.096 (multiplicity 2)
O  0.469  0.271  0.688 (multiplicity 2)

Values from the calculation:
ρ in kg/m³: 3930
Uncorrected energy in eV/atom: -4.8790
Total magnetic moment in μB/cell: 0.0
Formation energy (no corrections) in eV per atom: -1.0422



VASP calculation (GGA-PBE) on crystalline SrI4O12 at its relaxed geometry.

Lattice parameters (Å, degrees): 8.053 8.053 8.053 90.00 90.00 90.00
Space group Im-3 (No. 204)
One atom of each set of equivalent atoms:
Sr  0.000  0.000  0.000 (multiplicity 2)
I  0.250  0.250  0.250 (multiplicity 8)
O  0.000  0.264  0.214 (multiplicity 24)

Values from the calculation:
ρ in kg/m³: 5007
Uncorrected energy in eV/atom: -4.3842
Total magnetic moment in μB/cell: 0.0
Formation energy (no corrections) in eV per atom: -0.4206



VASP calculation (GGA-PBE) on crystalline SrI2O6 at its relaxed geometry.

Lattice parameters (Å, degrees): 7.534 11.758 9.244 90.00 127.20 90.00
Space group P2_1/c (No. 14)
One atom of each set of equivalent atoms:
Sr  0.237  0.096  0.233 (multiplicity 4)
I  0.253  0.077  0.791 (multiplicity 4)
I  0.310  0.715  0.757 (multiplicity 4)
O  0.051  0.538  0.218 (multiplicity 4)
O  0.073  0.203  0.704 (multiplicity 4)
O  0.112  0.610  0.590 (multiplicity 4)
O  0.390  0.092  0.037 (multiplicity 4)
O  0.445  0.745  0.154 (multiplicity 4)
O  0.491  0.108  0.581 (multiplicity 4)

Values from the calculation:
ρ in kg/m³: 4454
Uncorrected energy in eV/atom: -4.9039
Total magnetic moment in μB/cell: 0.0
Formation energy (no corrections) in eV per atom: -1.0671



VASP calculation (GGA-PBE) on crystalline Sr5I2O12 at its relaxed geometry.

Lattice parameters (Å, degrees): 10.1565 10.1565 57.6043 90.00 90.00 120.00
Space group R-3c (No. 167, hexagonal axes)
One atom of each set of equivalent atoms:
Sr  0.0000  0.0000  0.1037 (multiplicity 12)
Sr  0.0000  0.0000  0.2500 (multiplicity 6)
Sr  0.0078  0.3512  0.1862 (multiplicity 36)
Sr  0.0102  0.3114  0.7160 (multiplicity 36)
I  0.0000  0.0000  0.0000 (multiplicity 6)
I  0.0000  0.0000  0.1624 (multiplicity 12)
I  0.0000  0.3286  0.2500 (multiplicity 18)
O  0.0006  0.1575  0.4817 (multiplicity 36)
O  0.0021  0.1986  0.2746 (multiplicity 36)
O  0.0181  0.4660  0.2734 (multiplicity 36)
O  0.0458  0.1764  0.6798 (multiplicity 36)
O  0.0468  0.1714  0.3574 (multiplicity 36)
O  0.0847  0.5351  0.0843 (multiplicity 36)

Values from the calculation:
ρ in kg/m³: 5134
Uncorrected energy in eV/atom: -5.6452
Total magnetic moment in μB/cell: 0.0
Formation energy (no corrections) in eV per atom: -1.9080